No. 1
4
Lattice="3.880 0.000 0.000 1.939 3.362 0.000 0.007 0.008 5.183" Properties=species:S:1:pos:R:3 comment="LiAlPH PBE relaxed" magmom_total_mub_per_fu=0.0 e_tot_ev_per_cell=-16.3 dos_ef_per_ev_fu=0.00 sg="P1 (1)" pbc="T T T"
Li 0.000 0.000 0.000
Al 1.937 1.112 1.987
P 1.936 3.353 2.678
H 1.937 1.111 0.281

No. 2
4
Lattice="2.930 0.000 0.000 0.000 3.771 0.000 0.000 0.000 5.556" Properties=species:S:1:pos:R:3 comment="LiAlPH PBE relaxed" magmom_total_mub_per_fu=0.0 e_tot_ev_per_cell=-15.0 dos_ef_per_ev_fu=0.65 sg="Pmm2 (25)" pbc="T T T"
Li 0.000 0.000 0.000
Al 1.465 0.000 2.707
P 1.465 1.886 1.310
H 1.465 0.000 4.343

No. 3
4
Lattice="3.701 0.000 0.000 0.000 2.763 0.000 -1.048 0.000 6.014" Properties=species:S:1:pos:R:3 comment="LiAlPH PBE relaxed" magmom_total_mub_per_fu=0.0 e_tot_ev_per_cell=-14.4 dos_ef_per_ev_fu=0.94 sg="Pm (6)" pbc="T T T"
Li 0.000 0.000 0.000
Al 1.874 1.382 1.748
P 1.721 1.382 4.143
H 0.299 1.382 4.304

No. 4
4
Lattice="4.320 0.000 0.000 0.000 2.816 0.000 -0.271 0.000 4.580" Properties=species:S:1:pos:R:3 comment="LiAlPH PBE relaxed" magmom_total_mub_per_fu=0.0 e_tot_ev_per_cell=-15.0 dos_ef_per_ev_fu=0.79 sg="Pm (6)" pbc="T T T"
Li 0.000 0.000 0.000
Al 1.405 1.408 2.433
P 2.232 1.408 0.180
H 0.224 0.000 2.389